# TaCr2Si | Alexandria via LeMat-Bulk | PBE | optimized geometry
data_TaCr2Si
_chemical_formula_sum 'Ta1 Cr2 Si1'
_cell_length_a 4.134
_cell_length_b 4.134
_cell_length_c 3.187
_cell_angle_alpha 90.00
_cell_angle_beta 90.00
_cell_angle_gamma 90.00
_symmetry_space_group_name_H-M 'P 4/m m m'
_symmetry_Int_Tables_number 123
_symmetry_space_group_name_Hall '-P 4 2'
loop_
_atom_site_label
_atom_site_type_symbol
_atom_site_fract_x
_atom_site_fract_y
_atom_site_fract_z
_atom_site_occupancy
Ta1 Ta 0.000 0.000 0.000 1
Cr1 Cr 0.000 0.500 0.500 1
Si1 Si 0.500 0.500 0.000 1
# formation energy from raw total energies	-0.181	eV/atom
# V	13.6	Å³/atom
# M_tot	0.691	μB per atom
# DOS(E_F)	2.6	states/eV/f.u.